# Fe3O4F2 (GGA+U, relaxed)
data_Fe3O4F2
_space_group_name_H-M_alt 'P 1'
_space_group_IT_number 1
_cell_length_a 5.531
_cell_length_b 5.531
_cell_length_c 7.621
_cell_angle_alpha 110.67
_cell_angle_beta 110.67
_cell_angle_gamma 69.71
loop_
_space_group_symop_operation_xyz
'x,y,z'
loop_
_atom_site_label
_atom_site_fract_x
_atom_site_fract_y
_atom_site_fract_z
Fe1 0.000 0.000 0.000
Fe2 0.005 0.005 0.473
Fe3 0.349 0.349 0.322
Fe4 0.354 0.354 0.820
Fe5 0.665 0.665 0.674
Fe6 0.680 0.680 0.145
O1 0.047 0.645 0.820
O2 0.312 0.704 0.494
O3 0.371 0.981 0.152
O4 0.575 0.575 0.873
O5 0.645 0.047 0.820
O6 0.704 0.312 0.494
O7 0.899 0.899 0.185
O8 0.981 0.371 0.152
F1 0.122 0.122 0.776
F2 0.236 0.236 0.507
F3 0.457 0.457 0.134
F4 0.771 0.771 0.437
# Energy above the most stable polymorph in this dataset ... 168.1 meV per atom
# Total energy ... -5.9290 eV per atom
# Fermi-level density of states ... 0.105 states/eV per atom